DFT (PBE-GGA) results for a relaxed structure of YSi2Ni3.

## Properties
The total energy is -6.4876 eV/atom. The crystal system is monoclinic. For the uncorrected formation energy, the calculation gives -0.712 eV per atom. The calculation puts the volume at 174.1 Å³/cell.

Lattice parameters (Å, degrees): 3.7915 7.4931 6.9901 114.17 90.00 104.66
Last column: nearest neighbours and their distance in Å.
Atoms (fractional coordinates):
Y1 0.8462 0.6924 0.9310  7 Si 2.97-3.05, 7 Ni 3.09-3.24
Y2 0.1538 0.3076 0.0690  7 Si 2.97-3.05, 7 Ni 3.09-3.24
Si1 0.4800 0.9600 0.8177  4 Ni 2.25-2.29, 1 Si 2.36
Si2 0.5200 0.0400 0.1823  4 Ni 2.25-2.29, 1 Si 2.36
Si3 0.8144 0.6289 0.3352  6 Ni 2.27-2.45
Si4 0.1856 0.3711 0.6648  6 Ni 2.27-2.45
Ni1 0.3167 0.6335 0.5601  4 Si 2.29-2.45, 1 Ni 2.47
Ni2 0.9623 0.9246 0.6330  3 Si 2.25-2.27
Ni3 0.5924 0.1849 0.6695  3 Si 2.27-2.34, 1 Ni 2.47
Ni4 0.4076 0.8151 0.3305  3 Si 2.27-2.34, 1 Ni 2.47
Ni5 0.0377 0.0754 0.3670  3 Si 2.25-2.27
Ni6 0.6833 0.3665 0.4399  4 Si 2.29-2.45, 1 Ni 2.47